DFT (GGA-PBE) results for crystalline P3C2 at its relaxed geometry.

## Properties
Total moment in μB per formula unit: 0.00
ΔE_f in eV/atom: 0.89
DOS at the Fermi energy in states/eV/atom: 0.2471

a = 8.8511 Å, b = 8.8511 Å, c = 8.8511 Å
α = 18.78°, β = 18.78°, γ = 18.78°
Fractional coordinates of all 5 atoms:
P  0.0000  0.0000  0.0000
P  0.2135  0.2135  0.2135
P  0.7865  0.7865  0.7865
C  0.4280  0.4280  0.4280
C  0.5720  0.5720  0.5720

DFT (GGA-PBE) results for crystalline InTcB2 at its relaxed geometry.

## Properties
Total moment in μB per formula unit: 0.00
ΔE_f in eV/atom: 0.76
DOS at the Fermi energy in states/eV/atom: 0.3066

a = 6.1305 Å, b = 6.1305 Å, c = 6.1305 Å
α = 130.39°, β = 130.39°, γ = 72.78°
Fractional coordinates of all 8 atoms:
In  0.0000  0.0000  0.0000
In  0.7500  0.2500  0.5000
Tc  0.2500  0.7500  0.5000
Tc  0.5000  0.5000  0.0000
B  0.1895  0.6250  0.0645
B  0.3750  0.4395  0.5645
B  0.5605  0.1250  0.9355
B  0.8750  0.8105  0.4355